# 1
{
  "formula": "CeThInHg",
  "functional": "PBE",
  "state": "optimized geometry",
  "sg": "F-43m (216)",
  "delta_e_f_ev_per_atom": -0.2360,
  "n_ef_per_ev_fu": 10.09,
  "relative_energy_mev_per_atom": 41.1,
  "lattice_angstrom": [[-0.944, -2.515, 4.738], [2.804, -4.481, 1.311], [3.724, 0.182, 3.969]],
  "species": ["Hg", "Th", "Ce", "In"],
  "fractional_positions": [[0.750, 0.750, 0.750], [0.000, 0.000, 0.000], [0.500, 0.500, 0.500], [0.250, 0.250, 0.250]]
}



# 2
{
  "formula": "CuPdO3",
  "functional": "PBE",
  "state": "optimized geometry",
  "raw_formation_energy_ev_per_atom": -0.437,
  "sg": "Cmmm (65)",
  "n_ef_per_ev_fu": 2.49,
  "lattice_angstrom": [[-2.243, -1.311, 1.759], [-3.369, -0.935, -4.993], [3.554, -4.869, 0.903]],
  "species": ["O", "O", "O", "O", "O", "O", "Pd", "Pd", "Cu", "Cu"],
  "fractional_positions": [[0.000, 0.068, 0.321], [0.000, 0.679, 0.932], [0.000, 0.321, 0.068], [0.500, 0.363, 0.637], [0.500, 0.637, 0.363], [0.000, 0.932, 0.679], [0.500, 0.000, 0.500], [0.500, 0.500, 0.000], [0.000, 0.500, 0.500], [0.000, 0.000, 0.000]]
}



# 3
{
  "formula": "NdMg5Ag4",
  "functional": "PBE",
  "state": "optimized geometry",
  "sg": "P4/mmm (123)",
  "delta_e_f_ev_per_atom": -0.1987,
  "n_ef_per_ev_fu": 6.39,
  "lattice_angstrom": [[-1.126, -0.568, -3.137], [-0.803, -3.169, 0.862], [-16.481, 5.516, 4.915]],
  "species": ["Nd", "Ag", "Ag", "Ag", "Ag", "Mg", "Mg", "Mg", "Mg", "Mg"],
  "fractional_positions": [[0.000, 0.000, 0.000], [0.000, 0.000, 0.590], [0.000, 0.000, 0.772], [0.000, 0.000, 0.228], [0.000, 0.000, 0.410], [0.500, 0.500, 0.681], [0.500, 0.500, 0.139], [0.500, 0.500, 0.500], [0.500, 0.500, 0.319], [0.500, 0.500, 0.861]]
}



# 4
{
  "formula": "Ca4PrS5",
  "functional": "PBE",
  "state": "optimized geometry",
  "raw_formation_energy_ev_per_atom": -2.114,
  "sg": "I4/mmm (139)",
  "n_ef_per_ev_fu": 1.71,
  "lattice_angstrom": [[-2.369, -0.385, -3.265], [2.912, -2.114, -1.864], [-5.679, -10.928, 7.926]],
  "species": ["S", "S", "S", "S", "S", "Pr", "Ca", "Ca", "Ca", "Ca"],
  "fractional_positions": [[0.899, 0.899, 0.797], [0.500, 0.500, 0.000], [0.700, 0.700, 0.400], [0.101, 0.101, 0.203], [0.300, 0.300, 0.600], [0.000, 0.000, 0.000], [0.399, 0.399, 0.798], [0.799, 0.799, 0.599], [0.201, 0.201, 0.401], [0.601, 0.601, 0.202]]
}



# 5
{
  "formula": "Sr2BiAu2",
  "functional": "PBE",
  "state": "optimized geometry",
  "sg": "Cmmm (65)",
  "delta_e_f_ev_per_atom": -0.7898,
  "n_ef_per_ev_fu": 1.67,
  "relative_energy_mev_per_atom": 0.0,
  "lattice_angstrom": [[-0.261, 2.310, -3.140], [-3.899, -2.363, -1.414], [-2.537, 6.166, 4.747]],
  "species": ["Au", "Au", "Sr", "Sr", "Bi"],
  "fractional_positions": [[0.000, 0.799, 0.598], [0.000, 0.201, 0.402], [0.500, 0.629, 0.258], [0.500, 0.371, 0.742], [0.000, 0.000, 0.000]]
}



# 6
{
  "formula": "HoFeRh2",
  "functional": "PBE",
  "state": "optimized geometry",
  "sg": "Fm-3m (225)",
  "delta_e_f_ev_per_atom": -0.3785,
  "n_ef_per_ev_fu": 3.45,
  "relative_energy_mev_per_atom": 10.9,
  "lattice_angstrom": [[-1.120, -3.774, -2.258], [-1.161, -3.749, 2.280], [-4.306, -1.433, -0.031]],
  "species": ["Ho", "Rh", "Rh", "Fe"],
  "fractional_positions": [[0.500, 0.500, 0.500], [0.750, 0.750, 0.750], [0.250, 0.250, 0.250], [0.000, 0.000, 0.000]]
}



# 7
{
  "formula": "K3Ce3RhS8",
  "functional": "PBE",
  "state": "optimized geometry",
  "raw_formation_energy_ev_per_atom": -1.481,
  "sg": "R-3m (166)",
  "n_ef_per_ev_fu": 14.18,
  "lattice_angstrom": [[8.025, 0.000, 0.000], [-4.013, 6.951, -0.028], [0.000, -4.605, 7.514]],
  "species": ["S", "S", "S", "S", "S", "S", "S", "S", "K", "K", "K", "Rh", "Ce", "Ce", "Ce"],
  "fractional_positions": [[0.212, 0.424, 0.686], [0.788, 0.026, 0.314], [0.788, 0.576, 0.314], [0.212, 0.974, 0.686], [0.736, 0.472, 0.708], [0.238, 0.026, 0.314], [0.264, 0.528, 0.292], [0.762, 0.974, 0.686], [0.500, 0.500, 0.000], [0.000, 0.500, 0.000], [0.000, 0.000, 0.000], [0.000, 0.000, 0.500], [0.000, 0.500, 0.500], [0.500, 0.500, 0.500], [0.500, 0.000, 0.500]]
}



# 8
{
  "formula": "CsTbCuS2",
  "functional": "PBE",
  "state": "optimized geometry",
  "raw_formation_energy_ev_per_atom": -1.103,
  "sg": "P2/c (13)",
  "n_ef_per_ev_fu": 2.98,
  "lattice_angstrom": [[-4.384, 1.873, 0.192], [-1.679, -3.190, -7.224], [-2.310, -5.889, 4.722]],
  "species": ["Cu", "Cu", "S", "S", "S", "S", "Tb", "Tb", "Cs", "Cs"],
  "fractional_positions": [[0.000, 0.000, 0.000], [0.000, 0.000, 0.500], [0.687, 0.792, 0.963], [0.313, 0.792, 0.463], [0.313, 0.208, 0.037], [0.687, 0.208, 0.537], [0.506, 0.000, 0.750], [0.494, 0.000, 0.250], [0.181, 0.500, 0.750], [0.819, 0.500, 0.250]]
}



# 9
{
  "formula": "ZnCoAg2",
  "functional": "PBE",
  "state": "optimized geometry",
  "sg": "Pmmm (47)",
  "delta_e_f_ev_per_atom": 0.2612,
  "n_ef_per_ev_fu": 3.89,
  "lattice_angstrom": [[2.844, 0.000, 0.000], [0.000, 4.665, 0.000], [0.000, 0.000, 4.648]],
  "species": ["Ag", "Ag", "Co", "Zn"],
  "fractional_positions": [[0.000, 0.000, 0.000], [0.500, 0.500, 0.000], [0.500, 0.000, 0.500], [0.000, 0.500, 0.500]]
}



# 10
{
  "formula": "Li6GaHg",
  "functional": "PBE",
  "state": "optimized geometry",
  "sg": "P-1 (2)",
  "delta_e_f_ev_per_atom": -0.2190,
  "n_ef_per_ev_fu": 3.01,
  "relative_energy_mev_per_atom": 10.2,
  "lattice_angstrom": [[-6.179, -0.393, 3.792], [-3.969, -6.168, 0.018], [-1.814, -3.153, 3.641]],
  "species": ["Hg", "Li", "Li", "Li", "Li", "Li", "Li", "Ga"],
  "fractional_positions": [[0.500, 0.500, 0.500], [0.501, 0.756, 0.742], [0.000, 0.500, 0.745], [0.499, 0.244, 0.258], [0.246, 0.001, 0.253], [0.000, 0.500, 0.255], [0.754, 0.999, 0.747], [0.000, 0.000, 0.000]]
}



# 11
{
  "formula": "Sn3CO",
  "functional": "PBE",
  "state": "optimized geometry",
  "raw_formation_energy_ev_per_atom": 0.910,
  "sg": "Pm-3m (221)",
  "n_ef_per_ev_fu": 1.45,
  "relative_energy_mev_per_atom": 0.0,
  "lattice_angstrom": [[-4.628, 0.752, 0.715], [0.147, -2.760, 3.854], [1.027, 3.783, 2.670]],
  "species": ["O", "Sn", "Sn", "Sn", "C"],
  "fractional_positions": [[0.000, 0.000, 0.000], [0.000, 0.500, 0.000], [0.000, 0.000, 0.500], [0.500, 0.000, 0.000], [0.500, 0.500, 0.500]]
}



# 12
{
  "formula": "Ce2NdSi",
  "functional": "PBE",
  "state": "optimized geometry",
  "raw_formation_energy_ev_per_atom": -0.095,
  "sg": "R3m (160)",
  "n_ef_per_ev_fu": 8.00,
  "relative_energy_mev_per_atom": 233.9,
  "lattice_angstrom": [[3.819, 0.000, 0.000], [1.910, 3.308, 0.000], [1.910, 1.103, 9.537]],
  "species": ["Si", "Nd", "Ce", "Ce"],
  "fractional_positions": [[0.666, 0.666, 0.001], [0.500, 0.500, 0.499], [0.064, 0.064, 0.807], [0.269, 0.269, 0.193]]
}



| no. | final energy (eV/atom) |
| --- | --- |
| 1 | -4.334 |
| 2 | -5.270 |
| 3 | -2.613 |
| 4 | -5.456 |
| 5 | -3.550 |
| 6 | -7.314 |
| 7 | -5.579 |
| 8 | -4.670 |
| 9 | -3.259 |
| 10 | -2.070 |
| 11 | -4.328 |
| 12 | -5.610 |